The following is a DFT calculation (PBE) of an optimized crystal structure of BiSb2Pb2.

Unit cell a=4.2762 b=4.2762 c=9.4472 alpha=76.92 beta=76.92 gamma=90.00
Last column: nearest neighbours and their distance in Å.
Element x y z (fractional)
1 Bi 0.0000 0.0000 0.0000  8 Pb 3.49
2 Sb 0.7500 0.2500 0.5000  4 Sb 3.02
3 Sb 0.2500 0.7500 0.5000  4 Sb 3.02
4 Pb 0.5975 0.5975 0.8050  4 Sb 3.47, 1 Pb 3.49, 4 Bi 3.49
5 Pb 0.4025 0.4025 0.1950  4 Sb 3.47, 1 Pb 3.49, 4 Bi 3.49

Calculated values
SG: I4/mmm, No. 139
Energy relative to the lowest polymorph listed for this composition in eV/atom: 0.0123
E_form (uncorrected) in meV per atom: 103
Density of states at the Fermi level in states/eV/cell: 2.43
M_tot in μB per atom: 0.00

=====

The following is a DFT calculation (PBE) of an optimized crystal structure of Bi3SbPb.

Unit cell a=3.3881 b=8.3812 c=12.0120 alpha=75.21 beta=90.00 gamma=90.00
Last column: nearest neighbours and their distance in Å.
Element x y z (fractional)
1 Sb 0.2500 0.8682 0.1436  2 Bi 3.08-3.18, 2 Sb 3.39, 2 Pb 3.41
2 Sb 0.7500 0.1318 0.8564  2 Bi 3.08-3.18, 2 Sb 3.39, 2 Pb 3.41
3 Bi 0.7500 0.2597 0.5922  1 Sb 3.08, 3 Bi 3.24-3.39
4 Bi 0.2500 0.2603 0.0815  1 Sb 3.18, 3 Bi 3.22-3.39, 2 Pb 3.52
5 Bi 0.2500 0.1386 0.3584  4 Bi 3.22-3.39, 2 Pb 3.49
6 Bi 0.7500 0.8614 0.6416  4 Bi 3.22-3.39, 2 Pb 3.49
7 Bi 0.7500 0.7397 0.9185  1 Sb 3.18, 3 Bi 3.22-3.39, 2 Pb 3.52
8 Bi 0.2500 0.7403 0.4078  1 Sb 3.08, 3 Bi 3.24-3.39
9 Pb 0.7500 0.5052 0.2340  2 Pb 3.39, 2 Sb 3.41, 6 Bi 3.49-3.63
10 Pb 0.2500 0.4948 0.7660  2 Pb 3.39, 2 Sb 3.41, 6 Bi 3.49-3.63

Calculated values
SG: P2_1/m, No. 11
Energy relative to the lowest polymorph listed for this composition in eV/atom: 0.0000
E_form (uncorrected) in meV per atom: 101
Density of states at the Fermi level in states/eV/cell: 3.63
M_tot in μB per atom: 0.00

=====

Calculated volume for the records above, in order: 163.66 329.79 Å³ per cell